# 1
4
Lattice="4.197 0.000 0.000 0.000 4.197 0.000 0.000 0.000 6.766" Properties=species:S:1:pos:R:3 comment="GdDy2Pb PBE-GGA relaxed" sg="P4/mmm, No. 123" ef_ev_per_fu=-0.82 pbc="T T T"
Gd 0.000 0.000 0.000
Dy 2.098 2.098 1.793
Dy 2.098 2.098 4.974
Pb 0.000 0.000 3.383



# 2
5
Lattice="4.032 0.000 0.000 0.000 4.032 0.000 0.000 0.000 3.817" Properties=species:S:1:pos:R:3 comment="Li2GeOsN PBE-GGA relaxed" e_form_raw_ev_per_atom=-0.213 sg="P4/mmm, No. 123" pbc="T T T"
Li 0.000 2.016 0.000
Li 2.016 0.000 0.000
Ge 0.000 0.000 1.908
Os 2.016 2.016 1.908
N 2.016 2.016 0.000